(1)
Material: BaSrZn2F8
Method: DFT, PBE-GGA
State: optimized geometry

Structure (CIF):
```
data_BaSrZn2F8
_chemical_formula_sum 'Ba1 Sr1 Zn2 F8'
_space_group_name_H-M_alt 'P 1'
_space_group_IT_number 1
_cell_length_a 5.647
_cell_length_b 5.647
_cell_length_c 7.315
_cell_angle_alpha 112.70
_cell_angle_beta 112.70
_cell_angle_gamma 90.00
loop_
_space_group_symop_operation_xyz
'x,y,z'
loop_
_atom_site_label
_atom_site_type_symbol
_atom_site_fract_x
_atom_site_fract_y
_atom_site_fract_z
Ba1 Ba 0.750 0.250 0.500
Sr1 Sr 0.000 0.000 0.000
Zn1 Zn 0.500 0.500 0.000
Zn2 Zn 0.250 0.750 0.500
F1 F 0.737 0.831 0.151
F2 F 0.414 0.320 0.151
F3 F 0.592 0.694 0.670
F4 F 0.077 0.976 0.670
F5 F 0.024 0.408 0.330
F6 F 0.306 0.923 0.330
F7 F 0.169 0.586 0.849
F8 F 0.680 0.263 0.849
```

Computed properties:
Its crystal system is tetragonal. The total moment is 0.0 μB per formula unit. As for the energy: -4.872 eV per atom.

(2)
Material: Ba2SrZn3F12
Method: DFT, PBE-GGA
State: optimized geometry

Structure (CIF):
```
data_Ba2SrZn3F12
_chemical_formula_sum 'Ba2 Sr1 Zn3 F12'
_space_group_name_H-M_alt 'P 1'
_space_group_IT_number 1
_cell_length_a 7.182
_cell_length_b 7.182
_cell_length_c 7.182
_cell_angle_alpha 62.46
_cell_angle_beta 62.46
_cell_angle_gamma 62.46
loop_
_space_group_symop_operation_xyz
'x,y,z'
loop_
_atom_site_label
_atom_site_type_symbol
_atom_site_fract_x
_atom_site_fract_y
_atom_site_fract_z
Ba1 Ba 0.614 0.614 0.614
Ba2 Ba 0.386 0.386 0.386
Sr1 Sr 0.000 0.000 0.000
Zn1 Zn 0.500 0.000 0.000
Zn2 Zn 0.000 0.500 0.000
Zn3 Zn 0.000 0.000 0.500
F1 F 0.275 0.275 0.864
F2 F 0.857 0.857 0.431
F3 F 0.431 0.857 0.857
F4 F 0.864 0.275 0.275
F5 F 0.857 0.431 0.857
F6 F 0.275 0.864 0.275
F7 F 0.725 0.725 0.136
F8 F 0.143 0.143 0.569
F9 F 0.569 0.143 0.143
F10 F 0.136 0.725 0.725
F11 F 0.143 0.569 0.143
F12 F 0.725 0.136 0.725
```

Computed properties:
Its crystal system is trigonal. The total moment is 0.0 μB per formula unit. As for the energy: -4.821 eV per atom.

(3)
Material: BaSrZnF6
Method: DFT, PBE-GGA
State: optimized geometry

Structure (CIF):
```
data_BaSrZnF6
_chemical_formula_sum 'Ba2 Sr2 Zn2 F12'
_space_group_name_H-M_alt 'P 1'
_space_group_IT_number 1
_cell_length_a 5.973
_cell_length_b 5.973
_cell_length_c 10.879
_cell_angle_alpha 90.00
_cell_angle_beta 90.00
_cell_angle_gamma 120.00
loop_
_space_group_symop_operation_xyz
'x,y,z'
loop_
_atom_site_label
_atom_site_type_symbol
_atom_site_fract_x
_atom_site_fract_y
_atom_site_fract_z
Ba1 Ba 0.000 0.000 0.000
Ba2 Ba 0.000 0.000 0.500
Sr1 Sr 0.333 0.667 0.250
Sr2 Sr 0.667 0.333 0.750
Zn1 Zn 0.667 0.333 0.250
Zn2 Zn 0.333 0.667 0.750
F1 F 0.664 0.621 0.142
F2 F 0.957 0.336 0.142
F3 F 0.336 0.957 0.642
F4 F 0.043 0.664 0.858
F5 F 0.379 0.336 0.358
F6 F 0.957 0.621 0.358
F7 F 0.621 0.957 0.858
F8 F 0.664 0.043 0.358
F9 F 0.043 0.379 0.642
F10 F 0.379 0.043 0.142
F11 F 0.621 0.664 0.642
F12 F 0.336 0.379 0.858
```

Computed properties:
Its crystal system is trigonal. The total moment is 0.0 μB per formula unit. As for the energy: -5.112 eV per atom.

(4)
Material: BaTaF2
Method: DFT, PBE-GGA
State: optimized geometry

Structure (CIF):
```
data_BaTaF2
_chemical_formula_sum 'Ba1 Ta1 F2'
_space_group_name_H-M_alt 'P 1'
_space_group_IT_number 1
_cell_length_a 8.239
_cell_length_b 8.239
_cell_length_c 8.239
_cell_angle_alpha 23.52
_cell_angle_beta 23.52
_cell_angle_gamma 23.52
loop_
_space_group_symop_operation_xyz
'x,y,z'
loop_
_atom_site_label
_atom_site_type_symbol
_atom_site_fract_x
_atom_site_fract_y
_atom_site_fract_z
F1 F 0.914 0.914 0.914
F2 F 0.086 0.086 0.086
Ba1 Ba 0.500 0.500 0.500
Ta1 Ta 0.000 0.000 0.000
```

Computed properties:
Its crystal system is trigonal. The total moment is 1.9 μB per formula unit. The energy above the lowest structure with this stoichiometry comes out at 0.00 kJ per mole of atoms.

(5)
Material: BaTaF3
Method: DFT, PBE-GGA
State: optimized geometry

Structure (CIF):
```
data_BaTaF3
_chemical_formula_sum 'Ba1 Ta1 F3'
_space_group_name_H-M_alt 'P 1'
_space_group_IT_number 1
_cell_length_a 5.070
_cell_length_b 5.070
_cell_length_c 5.070
_cell_angle_alpha 90.00
_cell_angle_beta 90.00
_cell_angle_gamma 90.00
loop_
_space_group_symop_operation_xyz
'x,y,z'
loop_
_atom_site_label
_atom_site_type_symbol
_atom_site_fract_x
_atom_site_fract_y
_atom_site_fract_z
F1 F 0.000 0.500 0.000
F2 F 0.000 0.000 0.500
F3 F 0.500 0.000 0.000
Ba1 Ba 0.000 0.000 0.000
Ta1 Ta 0.500 0.500 0.500
```

Computed properties:
Its crystal system is cubic. The total moment is 4.0 μB per formula unit. The energy above the lowest structure with this stoichiometry comes out at 57.04 kJ per mole of atoms.

(6)
Material: BaTaF3
Method: DFT, PBE-GGA
State: optimized geometry

Structure (CIF):
```
data_BaTaF3
_chemical_formula_sum 'Ba1 Ta1 F3'
_space_group_name_H-M_alt 'P 1'
_space_group_IT_number 1
_cell_length_a 4.561
_cell_length_b 4.561
_cell_length_c 4.561
_cell_angle_alpha 90.00
_cell_angle_beta 90.00
_cell_angle_gamma 90.00
loop_
_space_group_symop_operation_xyz
'x,y,z'
loop_
_atom_site_label
_atom_site_type_symbol
_atom_site_fract_x
_atom_site_fract_y
_atom_site_fract_z
F1 F 0.000 0.500 0.000
F2 F 0.000 0.000 0.500
F3 F 0.500 0.000 0.000
Ba1 Ba 0.500 0.500 0.500
Ta1 Ta 0.000 0.000 0.000
```

Computed properties:
Its crystal system is cubic. The total moment is 3.7 μB per formula unit. The energy above the lowest structure with this stoichiometry comes out at 0.00 kJ per mole of atoms.

(7)
Material: Ba3TaF
Method: DFT, PBE-GGA
State: optimized geometry

Structure (CIF):
```
data_Ba3TaF
_chemical_formula_sum 'Ba3 Ta1 F1'
_space_group_name_H-M_alt 'P 1'
_space_group_IT_number 1
_cell_length_a 5.530
_cell_length_b 5.530
_cell_length_c 5.530
_cell_angle_alpha 90.00
_cell_angle_beta 90.00
_cell_angle_gamma 90.00
loop_
_space_group_symop_operation_xyz
'x,y,z'
loop_
_atom_site_label
_atom_site_type_symbol
_atom_site_fract_x
_atom_site_fract_y
_atom_site_fract_z
F1 F 0.000 0.000 0.000
Ba1 Ba 0.000 0.500 0.000
Ba2 Ba 0.000 0.000 0.500
Ba3 Ba 0.500 0.000 0.000
Ta1 Ta 0.500 0.500 0.500
```

Computed properties:
Its crystal system is cubic. The total moment is 2.8 μB per formula unit. The energy above the lowest structure with this stoichiometry comes out at 0.00 kJ per mole of atoms.

(8)
Material: BaTaF2
Method: DFT, PBE-GGA
State: optimized geometry

Structure (CIF):
```
data_BaTaF2
_chemical_formula_sum 'Ba1 Ta1 F2'
_space_group_name_H-M_alt 'P 1'
_space_group_IT_number 1
_cell_length_a 4.933
_cell_length_b 4.933
_cell_length_c 4.933
_cell_angle_alpha 60.00
_cell_angle_beta 60.00
_cell_angle_gamma 60.00
loop_
_space_group_symop_operation_xyz
'x,y,z'
loop_
_atom_site_label
_atom_site_type_symbol
_atom_site_fract_x
_atom_site_fract_y
_atom_site_fract_z
F1 F 0.250 0.250 0.250
F2 F 0.750 0.750 0.750
Ba1 Ba 0.000 0.000 0.000
Ta1 Ta 0.500 0.500 0.500
```

Computed properties:
Its crystal system is cubic. The total moment is 4.5 μB per formula unit. The energy above the lowest structure with this stoichiometry comes out at 81.65 kJ per mole of atoms.

(9)
Material: BaTaF2
Method: DFT, PBE-GGA
State: optimized geometry

Structure (CIF):
```
data_BaTaF2
_chemical_formula_sum 'Ba2 Ta2 F4'
_space_group_name_H-M_alt 'P 1'
_space_group_IT_number 1
_cell_length_a 7.786
_cell_length_b 7.786
_cell_length_c 7.786
_cell_angle_alpha 143.06
_cell_angle_beta 143.06
_cell_angle_gamma 53.24
loop_
_space_group_symop_operation_xyz
'x,y,z'
loop_
_atom_site_label
_atom_site_type_symbol
_atom_site_fract_x
_atom_site_fract_y
_atom_site_fract_z
Ba1 Ba 0.500 0.500 0.000
Ba2 Ba 0.250 0.750 0.500
Ta1 Ta 0.000 0.000 0.000
Ta2 Ta 0.750 0.250 0.500
F1 F 0.375 0.125 0.250
F2 F 0.875 0.125 0.750
F3 F 0.875 0.125 0.250
F4 F 0.875 0.625 0.750
```

Computed properties:
Its crystal system is tetragonal. The total moment is 0.8 μB per formula unit. The energy above the lowest structure with this stoichiometry comes out at 23.92 kJ per mole of atoms.

(10)
Material: BaTa2F11
Method: DFT, PBE-GGA
State: optimized geometry

Structure (CIF):
```
data_BaTa2F11
_chemical_formula_sum 'Ba2 Ta4 F22'
_space_group_name_H-M_alt 'P 1'
_space_group_IT_number 1
_cell_length_a 7.776
_cell_length_b 8.869
_cell_length_c 8.869
_cell_angle_alpha 70.52
_cell_angle_beta 64.00
_cell_angle_gamma 64.00
loop_
_space_group_symop_operation_xyz
'x,y,z'
loop_
_atom_site_label
_atom_site_type_symbol
_atom_site_fract_x
_atom_site_fract_y
_atom_site_fract_z
Ba1 Ba 0.750 0.750 0.750
Ba2 Ba 0.250 0.250 0.250
Ta1 Ta 0.629 0.679 0.321
Ta2 Ta 0.371 0.321 0.679
Ta3 Ta 0.871 0.179 0.821
Ta4 Ta 0.129 0.821 0.179
F1 F 0.640 0.688 0.535
F2 F 0.360 0.312 0.465
F3 F 0.137 0.535 0.688
F4 F 0.860 0.965 0.812
F5 F 0.863 0.465 0.312
F6 F 0.140 0.035 0.188
F7 F 0.363 0.812 0.965
F8 F 0.637 0.188 0.035
F9 F 0.500 0.500 0.500
F10 F 0.000 0.000 0.000
F11 F 0.862 0.783 0.217
F12 F 0.138 0.217 0.783
F13 F 0.638 0.283 0.717
F14 F 0.362 0.717 0.283
F15 F 0.475 0.923 0.318
F16 F 0.525 0.077 0.682
F17 F 0.284 0.318 0.923
F18 F 0.025 0.182 0.577
F19 F 0.716 0.682 0.077
F20 F 0.975 0.818 0.423
F21 F 0.216 0.577 0.182
F22 F 0.784 0.423 0.818
```

Computed properties:
Its crystal system is orthorhombic. The total moment is 1.0 μB per formula unit. As for the energy: -6.618 eV per atom.

(11)
Material: BaTa2ZnF
Method: DFT, PBE-GGA
State: optimized geometry

Structure (CIF):
```
data_BaTa2ZnF
_chemical_formula_sum 'Ba1 Ta2 Zn1 F1'
_space_group_name_H-M_alt 'P 1'
_space_group_IT_number 1
_cell_length_a 4.711
_cell_length_b 6.667
_cell_length_c 4.711
_cell_angle_alpha 90.00
_cell_angle_beta 90.00
_cell_angle_gamma 90.00
loop_
_space_group_symop_operation_xyz
'x,y,z'
loop_
_atom_site_label
_atom_site_type_symbol
_atom_site_fract_x
_atom_site_fract_y
_atom_site_fract_z
Zn1 Zn 0.000 0.000 0.000
F1 F 0.000 0.500 0.000
Ba1 Ba 0.500 0.500 0.500
Ta1 Ta 0.000 0.000 0.500
Ta2 Ta 0.500 0.000 0.000
```

Computed properties:
Its crystal system is tetragonal. The total moment is 2.7 μB per formula unit. As for the energy: -4.997 eV per atom.